[1]
# CsBe2GaFe

A geometry-optimized CsBe2GaFe structure (GGA-PBE, Alexandria).

Cell lengths 4.5319, 5.0645, 4.5319 Å; angles 90.00, 90.00, 90.00 degrees
With the nearest neighbours (Å) after each atom.
Fractional positions:
Be (0.0000, 0.0000, 0.5000)  2 Ga 2.27
Be (0.5000, 0.0000, 0.0000)  2 Ga 2.27
Ga (0.0000, 0.0000, 0.0000)  4 Be 2.27, 2 Fe 2.53
Fe (0.0000, 0.5000, 0.0000)  2 Ga 2.53
Cs (0.5000, 0.5000, 0.5000)  4 Fe 3.20, 8 Be 3.40

Computed properties:
As for the crystal system: tetragonal. For the formation energy, the calculation gives 1013 meV/atom.

---

[2]
# NiPSe2

A geometry-optimized NiPSe2 structure (GGA-PBE, Alexandria).

Cell lengths 3.4964, 3.3634, 7.5597 Å; angles 90.00, 90.00, 90.00 degrees
With the nearest neighbours (Å) after each atom.
Fractional positions:
P (0.0000, 0.5000, 0.5000)  4 Se 2.43
Se (0.0000, 0.0000, 0.0000)  4 Ni 2.43
Ni (0.5000, 0.5000, 0.0000)  4 Se 2.43
Se (0.5000, 0.0000, 0.5000)  4 P 2.43

Computed properties:
The value obtained for the uncorrected formation energy is 0.41 eV per atom. As for the crystal system: orthorhombic.

---

[3]
# SmSbPdPt

A geometry-optimized SmSbPdPt structure (GGA-PBE, Alexandria).

Cell lengths 4.8871, 4.8871, 4.8871 Å; angles 60.00, 60.00, 60.00 degrees
With the nearest neighbours (Å) after each atom.
Fractional positions:
Sm (0.2500, 0.2500, 0.2500)  4 Pd 2.99, 4 Pt 2.99
Pd (0.5000, 0.5000, 0.5000)  4 Sb 2.99, 4 Sm 2.99
Pt (0.0000, 0.0000, 0.0000)  4 Sb 2.99, 4 Sm 2.99
Sb (0.7500, 0.7500, 0.7500)  4 Pd 2.99, 4 Pt 2.99

Computed properties:
The value obtained for the uncorrected formation energy is -0.81 eV per atom. As for the crystal system: cubic.

---

[4]
# Ti3VN4

A geometry-optimized Ti3VN4 structure (GGA-PBE, Alexandria).

Cell lengths 2.9862, 5.1731, 5.1731 Å; angles 109.62, 90.00, 90.00 degrees
With the nearest neighbours (Å) after each atom.
Fractional positions:
N (0.5000, 0.7504, 0.2496)  5 Ti 2.11-2.12, 1 V 2.11
V (0.5000, 0.0000, 0.0000)  6 N 2.10-2.11
N (0.0000, 0.7512, 0.7512)  2 V 2.10, 4 Ti 2.11
Ti (0.0000, 0.0000, 0.5000)  6 N 2.11
Ti (0.5000, 0.5000, 0.5000)  6 N 2.11-2.12
N (0.5000, 0.2496, 0.7504)  5 Ti 2.11-2.12, 1 V 2.11
N (0.0000, 0.2488, 0.2488)  2 V 2.10, 4 Ti 2.11
Ti (0.0000, 0.5000, 0.0000)  6 N 2.11

Computed properties:
The value obtained for the uncorrected formation energy is -1.54 eV per atom. As for the crystal system: orthorhombic.

---

[5]
# ZrReN2O

A geometry-optimized ZrReN2O structure (GGA-PBE, Alexandria).

Cell lengths 3.9078, 3.9078, 3.8666 Å; angles 90.00, 90.00, 90.00 degrees
With the nearest neighbours (Å) after each atom.
Fractional positions:
N (0.0000, 0.5000, 0.0000)  2 Re 1.95
N (0.5000, 0.0000, 0.0000)  2 Re 1.95
O (0.0000, 0.0000, 0.5000)  2 Re 1.93
Zr (0.5000, 0.5000, 0.5000)  8 N 2.75, 4 O 2.76
Re (0.0000, 0.0000, 0.0000)  2 O 1.93, 4 N 1.95

Computed properties:
The value obtained for the uncorrected formation energy is -0.45 eV per atom. As for the crystal system: tetragonal.

---

[6]
# Pr2Al3InAu4

A geometry-optimized Pr2Al3InAu4 structure (GGA-PBE, Alexandria).

Cell lengths 4.4867, 4.4867, 10.7364 Å; angles 90.00, 90.00, 90.00 degrees
With the nearest neighbours (Å) after each atom.
Fractional positions:
Al (0.0000, 0.0000, 0.5000)  4 Au 2.73
Pr (0.0000, 0.5000, 0.7587)  8 Au 3.40-3.43, 6 Al 3.41-3.57, 2 In 3.57
Au (0.5000, 0.5000, 0.0000)  4 Al 2.61
Au (0.5000, 0.0000, 0.6444)  3 Al 2.49-2.73, 2 In 2.73
Pr (0.5000, 0.0000, 0.2413)  8 Au 3.40-3.43, 6 Al 3.41-3.57, 2 In 3.57
Al (0.5000, 0.0000, 0.8759)  5 Au 2.49-2.61
Au (0.0000, 0.0000, 0.0000)  4 Al 2.61
Al (0.0000, 0.5000, 0.1241)  5 Au 2.49-2.61
In (0.5000, 0.5000, 0.5000)  4 Au 2.73
Au (0.0000, 0.5000, 0.3556)  3 Al 2.49-2.73, 2 In 2.73

Computed properties:
As for the crystal system: tetragonal. For the formation energy, the calculation gives -687 meV/atom.

---

[7]
# TaAg3

A geometry-optimized TaAg3 structure (GGA-PBE, Alexandria).

Cell lengths 2.8079, 2.8079, 9.7760 Å; angles 90.00, 90.00, 111.32 degrees
With the nearest neighbours (Å) after each atom.
Fractional positions:
Ag (0.5000, 0.5000, 0.7500)  8 Ag 2.81-2.91
Ag (0.0000, 0.0000, 0.9999)  6 Ag 2.81-2.91, 2 Ta 2.91
Ag (0.0000, 0.0000, 0.5001)  6 Ag 2.81-2.91, 2 Ta 2.91
Ta (0.5000, 0.5000, 0.2500)  4 Ta 2.81, 4 Ag 2.91

Computed properties:
As for the crystal system: orthorhombic. For the formation energy, the calculation gives 218 meV/atom.

---

[8]
# DyZn6Pd6

A geometry-optimized DyZn6Pd6 structure (GGA-PBE, Alexandria).

Cell lengths 5.2069, 6.7691, 6.7691 Å; angles 81.28, 67.38, 67.38 degrees
With the nearest neighbours (Å) after each atom.
Fractional positions:
Pd (0.3397, 0.6603, 0.6603)  6 Zn 2.68-2.69, 3 Pd 2.84-2.96
Zn (0.5000, 0.2411, 0.7589)  4 Zn 2.57, 6 Pd 2.66-2.76
Zn (0.5000, 0.7589, 0.2411)  4 Zn 2.57, 6 Pd 2.66-2.76
Dy (0.0000, 0.0000, 0.0000)  8 Pd 3.01-3.06, 4 Zn 3.36
Zn (0.5000, 0.0000, 0.5000)  4 Zn 2.57-2.60, 6 Pd 2.63-2.70
Pd (0.6603, 0.3397, 0.3397)  6 Zn 2.68-2.69, 3 Pd 2.84-2.96
Pd (0.0000, 0.6566, 0.3434)  6 Zn 2.70-2.76, 1 Pd 2.76
Zn (0.0000, 0.0000, 0.5000)  4 Zn 2.57-2.60, 6 Pd 2.63-2.70
Pd (0.6814, 0.8186, 0.8186)  6 Zn 2.63-2.66
Zn (0.5000, 0.5000, 0.0000)  4 Zn 2.57-2.60, 6 Pd 2.63-2.70
Zn (0.0000, 0.5000, 0.0000)  4 Zn 2.57-2.60, 6 Pd 2.63-2.70
Pd (0.0000, 0.3434, 0.6566)  6 Zn 2.70-2.76, 1 Pd 2.76
Pd (0.3186, 0.1814, 0.1814)  6 Zn 2.63-2.66

Computed properties:
As for the crystal system: orthorhombic. For the formation energy, the calculation gives -552 meV/atom.

---

| no. | density (g/cm3) |
| --- | --- |
| 1 | 4.414 |
| 2 | 4.625 |
| 3 | 11.541 |
| 4 | 5.528 |
| 5 | 9.040 |
| 6 | 9.723 |
| 7 | 11.668 |
| 8 | 9.749 |